1.
Computed, not measured: ThAl5Ag2 after structural relaxation at the PBE level of DFT.

a b c (Å): 4.1342 6.6530 6.6530
angles (deg): 66.47 71.90 71.90
Fractional coordinates of all 8 atoms:
1 Th 0.0000 0.0000 0.0000
2 Al 0.0000 0.5000 0.5000
3 Al 0.6354 0.5532 0.1760
4 Al 0.3646 0.4468 0.8240
5 Al 0.3646 0.8240 0.4468
6 Al 0.6354 0.1760 0.5532
7 Ag 0.7504 0.7496 0.7496
8 Ag 0.2496 0.2504 0.2504

Summary:
The value obtained for the density of states at the Fermi level is 2.77 states/eV/cell. The calculation puts the total energy at -4.149 eV/atom. The calculation puts the formation energy from the elements at -0.1692 eV/atom. As for the symmetry: No. 71. As for the total magnetization: 0.00 μB per atom.

2.
Computed, not measured: Th2AlAg2 after structural relaxation at the PBE level of DFT.

a b c (Å): 4.6992 5.9172 9.9720
angles (deg): 73.04 76.37 66.60
Fractional coordinates of all 10 atoms:
1 Th 0.0890 0.2007 0.6212
2 Th 0.8281 0.2901 0.0536
3 Th 0.9110 0.7993 0.3788
4 Th 0.1719 0.7099 0.9464
5 Al 0.2347 0.2528 0.2778
6 Al 0.7653 0.7472 0.7222
7 Ag 0.6166 0.3893 0.3774
8 Ag 0.4989 0.8562 0.1461
9 Ag 0.3834 0.6107 0.6226
10 Ag 0.5011 0.1438 0.8539

Summary:
The value obtained for the density of states at the Fermi level is 9.57 states/eV/cell. The calculation puts the total energy at -5.018 eV/atom. The calculation puts the formation energy from the elements at -0.1615 eV/atom. As for the symmetry: No. 12. As for the total magnetization: 0.00 μB per atom.

3.
Computed, not measured: ThAlAg after structural relaxation at the PBE level of DFT.

a b c (Å): 3.3329 3.3329 6.4523
angles (deg): 104.97 104.97 90.00
Fractional coordinates of all 3 atoms:
1 Ag 0.2566 0.2566 0.5131
2 Th 0.9538 0.9538 0.9076
3 Al 0.6397 0.6397 0.2793

Summary:
The value obtained for the density of states at the Fermi level is 2.01 states/eV/cell. The calculation puts the total energy at -4.833 eV/atom. The calculation puts the formation energy from the elements at -0.1623 eV/atom. As for the symmetry: No. 107. As for the total magnetization: 0.00 μB per atom.

4.
Computed, not measured: Th2Al5Ag12 after structural relaxation at the PBE level of DFT.

a b c (Å): 7.1925 7.1925 7.1925
angles (deg): 82.87 82.87 82.87
Fractional coordinates of all 19 atoms:
1 Th 0.6656 0.6656 0.6656
2 Th 0.3344 0.3344 0.3344
3 Al 0.0000 0.0000 0.5000
4 Al 0.0000 0.5000 0.0000
5 Al 0.5000 0.0000 0.0000
6 Al 0.9031 0.9031 0.9031
7 Al 0.0969 0.0969 0.0969
8 Ag 0.2985 0.7015 0.0000
9 Ag 0.7015 0.0000 0.2985
10 Ag 0.0000 0.2985 0.7015
11 Ag 0.7015 0.2985 0.0000
12 Ag 0.2985 0.0000 0.7015
13 Ag 0.0000 0.7015 0.2985
14 Ag 0.3455 0.3455 0.8555
15 Ag 0.3455 0.8555 0.3455
16 Ag 0.8555 0.3455 0.3455
17 Ag 0.6545 0.1445 0.6545
18 Ag 0.6545 0.6545 0.1445
19 Ag 0.1445 0.6545 0.6545

Summary:
The value obtained for the density of states at the Fermi level is 6.60 states/eV/cell. The calculation puts the total energy at -3.706 eV/atom. The calculation puts the formation energy from the elements at -0.1389 eV/atom. As for the symmetry: No. 166. As for the total magnetization: 0.00 μB per atom.

5.
Computed, not measured: ThAlAg4 after structural relaxation at the PBE level of DFT.

a b c (Å): 5.6002 5.6002 5.6002
angles (deg): 60.00 60.00 60.00
Fractional coordinates of all 6 atoms:
1 Ag 0.6253 0.6253 0.1241
2 Ag 0.6253 0.1241 0.6253
3 Ag 0.6253 0.6253 0.6253
4 Ag 0.1241 0.6253 0.6253
5 Th 0.2500 0.2500 0.2500
6 Al 0.0000 0.0000 0.0000

Summary:
The value obtained for the density of states at the Fermi level is 3.94 states/eV/cell. The calculation puts the total energy at -3.780 eV/atom. The calculation puts the formation energy from the elements at -0.0192 eV/atom. As for the symmetry: No. 216. As for the total magnetization: 0.00 μB per atom.

6.
Computed, not measured: ThAlAg2 after structural relaxation at the PBE level of DFT.

a b c (Å): 4.5073 9.3918 8.7066
angles (deg): 90.00 105.00 90.00
Fractional coordinates of all 16 atoms:
1 Th 0.5000 0.5000 0.0000
2 Th 0.5000 0.0000 0.0000
3 Th 0.2999 0.7500 0.5997
4 Th 0.7001 0.2500 0.4003
5 Al 0.1452 0.4796 0.2904
6 Al 0.8548 0.9796 0.7096
7 Al 0.1452 0.0204 0.2904
8 Al 0.8548 0.5204 0.7096
9 Ag 0.8969 0.2500 0.7939
10 Ag 0.9417 0.7500 0.8834
11 Ag 0.1031 0.7500 0.2061
12 Ag 0.0583 0.2500 0.1166
13 Ag 0.6918 0.5966 0.3836
14 Ag 0.3082 0.4034 0.6164
15 Ag 0.3082 0.0966 0.6164
16 Ag 0.6918 0.9034 0.3836

Summary:
The value obtained for the density of states at the Fermi level is 13.72 states/eV/cell. The calculation puts the total energy at -4.412 eV/atom. The calculation puts the formation energy from the elements at -0.1959 eV/atom. As for the symmetry: No. 63. As for the total magnetization: 0.00 μB per atom.

7.
Computed, not measured: ThAl4Ag after structural relaxation at the PBE level of DFT.

a b c (Å): 5.5575 5.5575 5.5575
angles (deg): 60.00 60.00 60.00
Fractional coordinates of all 6 atoms:
1 Ag 0.0000 0.0000 0.0000
2 Th 0.2500 0.2500 0.2500
3 Al 0.6242 0.6242 0.1275
4 Al 0.6242 0.1275 0.6242
5 Al 0.6242 0.6242 0.6242
6 Al 0.1275 0.6242 0.6242

Summary:
The value obtained for the density of states at the Fermi level is 3.91 states/eV/cell. The calculation puts the total energy at -4.304 eV/atom. The calculation puts the formation energy from the elements at -0.0975 eV/atom. For the energy above the most stable polymorph in this dataset, the calculation gives 111 meV/atom. As for the symmetry: No. 216. As for the total magnetization: 0.00 μB per atom.

8.
Computed, not measured: Th3Al9Ag2 after structural relaxation at the PBE level of DFT.

a b c (Å): 4.3957 8.4937 8.4937
angles (deg): 73.96 75.00 75.00
Fractional coordinates of all 14 atoms:
1 Th 0.0000 0.0000 0.0000
2 Th 0.6862 0.3138 0.3138
3 Th 0.3138 0.6862 0.6862
4 Al 0.0000 0.5000 0.5000
5 Al 0.6656 0.9643 0.7045
6 Al 0.3344 0.0357 0.2955
7 Al 0.6656 0.7045 0.9643
8 Al 0.3344 0.2955 0.0357
9 Al 0.8662 0.8576 0.4100
10 Al 0.1338 0.1424 0.5900
11 Al 0.8662 0.4100 0.8576
12 Al 0.1338 0.5900 0.1424
13 Ag 0.5000 0.2780 0.7220
14 Ag 0.5000 0.7220 0.2780

Summary:
The value obtained for the density of states at the Fermi level is 5.94 states/eV/cell. The calculation puts the total energy at -4.746 eV/atom. The calculation puts the formation energy from the elements at -0.3425 eV/atom. As for the symmetry: No. 71. As for the total magnetization: 0.00 μB per atom.

9.
Computed, not measured: Th2Al3Ag2 after structural relaxation at the PBE level of DFT.

a b c (Å): 4.5209 7.2497 9.9195
angles (deg): 90.00 103.17 90.00
Fractional coordinates of all 14 atoms:
1 Th 0.1554 0.2500 0.3107
2 Th 0.8446 0.7500 0.6893
3 Th 0.9528 0.2500 0.9057
4 Th 0.0472 0.7500 0.0943
5 Al 0.2208 0.7500 0.4417
6 Al 0.7792 0.2500 0.5583
7 Al 0.5598 0.4285 0.1196
8 Al 0.4402 0.5715 0.8804
9 Al 0.4402 0.9285 0.8804
10 Al 0.5598 0.0715 0.1196
11 Ag 0.6886 0.9456 0.3771
12 Ag 0.3114 0.0544 0.6229
13 Ag 0.3114 0.4456 0.6229
14 Ag 0.6886 0.5544 0.3771

Summary:
The value obtained for the density of states at the Fermi level is 9.39 states/eV/cell. The calculation puts the total energy at -4.862 eV/atom. The calculation puts the formation energy from the elements at -0.3230 eV/atom. As for the symmetry: No. 63. As for the total magnetization: 0.00 μB per atom.

10.
Computed, not measured: Th3Al2Ag4 after structural relaxation at the PBE level of DFT.

a b c (Å): 4.8126 5.9564 9.0027
angles (deg): 115.26 90.00 113.83
Fractional coordinates of all 9 atoms:
1 Th 0.6563 0.3126 0.6707
2 Th 0.0000 0.0000 0.0000
3 Th 0.3437 0.6874 0.3293
4 Al 0.6206 0.2411 0.2853
5 Al 0.3794 0.7589 0.7147
6 Ag 0.7063 0.4127 0.0473
7 Ag 0.2937 0.5873 0.9527
8 Ag 0.9160 0.8321 0.5902
9 Ag 0.0840 0.1679 0.4098

Summary:
The value obtained for the density of states at the Fermi level is 6.85 states/eV/cell. The calculation puts the total energy at -4.801 eV/atom. The calculation puts the formation energy from the elements at -0.2292 eV/atom. As for the symmetry: No. 12. As for the total magnetization: 0.00 μB per atom.

- What is the formula in the third record?
  ThAlAg